# 1
Below is a relaxed structure of K3GeBi3Se8, with properties calculated at the PBE-GGA level.

The structure belongs to space group R-3m (No. 166, hexagonal axes); the cell edges are 8.3776, 8.3776 and 23.8979 Å and the angles 90.00°, 90.00° and 120.00°. Symmetry generates all atoms from K at (0.0000, 0.5000, 0.0000), Ge at (0.0000, 0.0000, 0.5000), Bi at (0.0000, 0.5000, 0.5000), Se at (0.0000, 0.0000, 0.2379) and Se at (0.0385, 0.5192, 0.2307).

As for the uncorrected formation energy: -0.6410 eV per atom.


# 2
Below is a relaxed structure of KGeBiTe3, with properties calculated at the PBE-GGA level.

The structure belongs to space group P2_1/m (No. 11); the cell edges are 9.5040, 4.6880 and 10.9842 Å and the angles 90.00°, 109.03° and 90.00°. Symmetry generates all atoms from K at (0.2216, 0.2500, 0.2466), Ge at (0.1066, 0.2500, 0.6231), Bi at (0.3131, 0.7500, 0.8913), Te at (0.0943, 0.2500, 0.8970), Te at (0.1972, 0.7500, 0.5080) and Te at (0.4787, 0.7500, 0.1700).

As for the uncorrected formation energy: -0.3667 eV per atom.


# 3
Below is a relaxed structure of K3GeBi3Te8, with properties calculated at the PBE-GGA level.

The structure belongs to space group R-3m (No. 166, hexagonal axes); the cell edges are 8.8856, 8.8856 and 25.8040 Å and the angles 90.00°, 90.00° and 120.00°. Symmetry generates all atoms from K at (0.0000, 0.5000, 0.0000), Ge at (0.0000, 0.0000, 0.5000), Bi at (0.0000, 0.5000, 0.5000), Te at (0.0000, 0.0000, 0.2376) and Te at (0.0305, 0.5152, 0.2321).

As for the uncorrected formation energy: -0.4413 eV per atom.


# 4
Below is a relaxed structure of KVGe2Bi, with properties calculated at the PBE-GGA level.

The structure belongs to space group P4/mmm (No. 123); the cell edges are 5.2996, 5.2996 and 5.7622 Å and the angles 90.00°, 90.00° and 90.00°. Symmetry generates all atoms from K at (0.0000, 0.0000, 0.0000), V at (0.5000, 0.5000, 0.5000), Ge at (0.0000, 0.5000, 0.0000) and Bi at (0.0000, 0.0000, 0.5000).

The formation energy is 1981 meV/atom.


# 5
Below is a relaxed structure of KZr2GeBi, with properties calculated at the PBE-GGA level.

The structure belongs to space group P4/mmm (No. 123); the cell edges are 5.1989, 5.1989 and 5.9071 Å and the angles 90.00°, 90.00° and 90.00°. Symmetry generates all atoms from K at (0.0000, 0.0000, 0.0000), Zr at (0.0000, 0.5000, 0.5000), Ge at (0.5000, 0.5000, 0.5000) and Bi at (0.5000, 0.5000, 0.0000).

The formation energy is 451 meV/atom.


# 6
Below is a relaxed structure of LaGe2Bi2, with properties calculated at the PBE-GGA level.

The structure belongs to space group I4/mmm (No. 139); the cell edges are 4.5184, 4.5184 and 14.1572 Å and the angles 90.00°, 90.00° and 90.00°. Symmetry generates all atoms from La at (0.0000, 0.0000, 0.0000), Ge at (0.0000, 0.0000, 0.4149) and Bi at (0.0000, 0.5000, 0.2500).

The formation energy is -174 meV/atom.


# 7
Below is a relaxed structure of La6Ge2Bi, with properties calculated at the PBE-GGA level.

The structure belongs to space group Immm (No. 71); the cell edges are 9.9317, 10.2607 and 11.1342 Å and the angles 90.00°, 90.00° and 90.00°. Symmetry generates all atoms from La at (0.0000, 0.2089, 0.2443), La at (0.2085, 0.5000, 0.1801), La at (0.2222, 0.3070, 0.5000), Ge at (0.0000, 0.3718, 0.0000), Ge at (0.0000, 0.5000, 0.3845), Bi at (0.0000, 0.0000, 0.0000) and Bi at (0.0000, 0.0000, 0.5000).

The formation energy is -629 meV/atom.


# 8
Below is a relaxed structure of LaGe2Bi2, with properties calculated at the PBE-GGA level.

The structure belongs to space group P4/mbm (No. 127); the cell edges are 8.0223, 8.0223 and 4.2427 Å and the angles 90.00°, 90.00° and 90.00°. Symmetry generates all atoms from La at (0.0000, 0.0000, 0.0000), Ge at (0.1164, 0.3836, 0.0000) and Bi at (0.1949, 0.6949, 0.5000).

The formation energy is -228 meV/atom.


# 9
Below is a relaxed structure of La8Ge3Bi2, with properties calculated at the PBE-GGA level.

The structure belongs to space group C2/m (No. 12); the cell edges are 16.5384, 8.5411 and 7.5035 Å and the angles 90.00°, 106.50° and 90.00°. Symmetry generates all atoms from La at (0.0993, 0.0000, 0.3782), La at (0.1054, 0.2493, 0.8982), La at (0.1080, 0.5000, 0.4033), Ge at (0.0000, 0.2482, 0.5000), Ge at (0.0000, 0.5000, 0.0000) and Bi at (0.2503, 0.0000, 0.1678).

The formation energy is -588 meV/atom.


# 10
Below is a relaxed structure of LaGe2Bi2, with properties calculated at the PBE-GGA level.

The structure belongs to space group P4/mbm (No. 127); the cell edges are 8.4595, 8.4595 and 3.9638 Å and the angles 90.00°, 90.00° and 90.00°. Symmetry generates all atoms from La at (0.0000, 0.0000, 0.0000), Ge at (0.1826, 0.3174, 0.5000) and Bi at (0.1336, 0.6336, 0.0000).

The formation energy is -60 meV/atom.


# 11
Below is a relaxed structure of La2GeBi2, with properties calculated at the PBE-GGA level.

The structure belongs to space group P4/mbm (No. 127); the cell edges are 8.3671, 8.3671 and 4.5828 Å and the angles 90.00°, 90.00° and 90.00°. Symmetry generates all atoms from La at (0.1578, 0.3422, 0.0000), Ge at (0.0000, 0.0000, 0.5000) and Bi at (0.1519, 0.6518, 0.5000).

The formation energy is -614 meV/atom.


# 12
Below is a relaxed structure of La8Ge5Bi, with properties calculated at the PBE-GGA level.

The structure belongs to space group I-4 (No. 82); the cell edges are 9.4810, 9.4810 and 9.4324 Å and the angles 90.00°, 90.00° and 90.00°. Symmetry generates all atoms from La at (0.0667, 0.3129, 0.4366), La at (0.0698, 0.1697, 0.8115), Ge at (0.0000, 0.0000, 0.5000), Ge at (0.1273, 0.2499, 0.1234) and Bi at (0.0000, 0.5000, 0.7500).

The formation energy is -846 meV/atom.


So what do the calculations give for mass density? Going down the list: 4.97 5.05 5.19 4.56 5.23 8.07 6.95 8.54 5.71 8.22 7.95 6.59 Mg/m³.